Record 1
This record from Alexandria describes an optimized crystal structure of Tl2CrSbTe4. The functional is PBE.

Results
The symmetry is No. 74. The calculation puts the energy relative to the elements, uncorrected at -0.19 eV/atom.

Cell: 8.916 8.916 8.916 Å, 121.52 118.39 90.10°
Atoms (fractional coordinates):
Tl  0.000  0.000  0.000
Tl  0.500  0.000  0.000
Tl  0.500  0.000  0.500
Tl  0.500  0.500  0.500
Cr  0.000  0.000  0.500
Cr  0.000  0.500  0.000
Sb  0.000  0.500  0.500
Sb  0.500  0.500  0.000
Te  0.197  0.744  0.453
Te  0.209  0.256  0.953
Te  0.224  0.237  0.513
Te  0.224  0.712  0.987
Te  0.776  0.288  0.013
Te  0.776  0.763  0.487
Te  0.791  0.744  0.047
Te  0.803  0.256  0.547

Record 2
This record from Alexandria describes an optimized crystal structure of CaAgOs. The functional is PBE.

Results
The calculated formation energy is 158.2 kJ/mol of formula units. The symmetry is No. 156. The excess energy over the best structure of this formula in the dataset is 0.013 eV per atom.

Cell: 4.920 4.920 2.735 Å, 90.00 90.00 120.00°
Atoms (fractional coordinates):
Ca  0.000  0.000  0.000
Ag  0.333  0.667  0.572
Os  0.667  0.333  0.450

Record 3
This record from Alexandria describes an optimized crystal structure of YIn2SbF. The functional is PBE.

Results
The symmetry is No. 123. The calculation puts the energy relative to the elements, uncorrected at 0.02 eV/atom.

Cell: 5.664 5.664 5.812 Å, 90.00 90.00 90.00°
Atoms (fractional coordinates):
Y  0.000  0.000  0.000
In  0.000  0.500  0.500
In  0.500  0.000  0.500
Sb  0.000  0.000  0.500
F  0.500  0.500  0.000

Record 4
This record from Alexandria describes an optimized crystal structure of LiCa2Dy3Se6. The functional is PBE.

Results
The symmetry is No. 12. The calculation puts the energy relative to the elements, uncorrected at -1.82 eV/atom.

Cell: 7.061 7.061 7.184 Å, 99.43 99.43 120.02°
Atoms (fractional coordinates):
Li  0.000  0.000  0.000
Ca  0.334  0.666  0.000
Ca  0.666  0.334  0.000
Dy  0.168  0.832  0.500
Dy  0.500  0.500  0.500
Dy  0.832  0.168  0.500
Se  0.084  0.410  0.251
Se  0.243  0.243  0.748
Se  0.410  0.084  0.251
Se  0.590  0.916  0.749
Se  0.757  0.757  0.252
Se  0.916  0.590  0.749

Record 5
This record from Alexandria describes an optimized crystal structure of Cd2AsPt. The functional is PBE.

Results
The calculated formation energy is -59.0 kJ/mol of formula units. The symmetry is No. 6.

Cell: 4.386 3.136 6.469 Å, 90.00 109.70 90.00°
Atoms (fractional coordinates):
Cd  0.000  0.000  0.000
Cd  0.331  0.500  0.664
As  0.606  0.500  0.214
Pt  0.768  0.000  0.536

Record 6
This record from Alexandria describes an optimized crystal structure of RbY2AsI. The functional is PBE.

Results
The symmetry is No. 123. The calculation puts the energy relative to the elements, uncorrected at 1.22 eV/atom.

Cell: 5.980 5.980 5.783 Å, 90.00 90.00 90.00°
Atoms (fractional coordinates):
Rb  0.000  0.000  0.000
Y  0.000  0.500  0.000
Y  0.500  0.000  0.000
As  0.500  0.500  0.500
I  0.000  0.000  0.500

Record 7
This record from Alexandria describes an optimized crystal structure of CaSb. The functional is PBE.

Results
The symmetry is No. 129. The calculation puts the energy relative to the elements, uncorrected at -0.25 eV/atom.

Cell: 3.401 3.401 11.199 Å, 90.00 90.00 90.00°
Atoms (fractional coordinates):
Ca  0.250  0.250  0.151
Ca  0.750  0.750  0.849
Sb  0.250  0.250  0.648
Sb  0.750  0.750  0.352

Record 8
This record from Alexandria describes an optimized crystal structure of AgB2H8. The functional is PBE.

Results
The calculation puts the electronic total energy at -3.77 eV per atom. The symmetry is No. 12.

Cell: 5.262 5.262 4.096 Å, 99.28 99.28 78.78°
Atoms (fractional coordinates):
Ag  0.000  0.000  0.000
B  0.212  0.212  0.681
B  0.788  0.788  0.319
H  0.013  0.688  0.264
H  0.170  0.170  0.355
H  0.312  0.987  0.736
H  0.363  0.363  0.768
H  0.637  0.637  0.232
H  0.688  0.013  0.264
H  0.830  0.830  0.645
H  0.987  0.312  0.736